First-principles (PBE) data for a geometry-optimized Cd8InSn2 structure, as listed in Alexandria via LeMat-Bulk.

Unit cell a=8.7359 b=8.7359 c=5.3512 alpha=91.80 beta=91.80 gamma=131.70
With the nearest neighbours (Å) after each atom.
Fractional positions:
Cd 0.0969 0.0969 0.7676  8 Cd 2.94-3.27, 1 In 3.05
Cd 0.1733 0.8267 0.0000  2 Sn 2.88, 4 Cd 3.08-3.13
Cd 0.2005 0.3965 0.3812  2 Sn 3.00-3.21, 1 In 3.02, 5 Cd 3.04-3.27
Cd 0.3965 0.2005 0.3812  2 Sn 3.00-3.21, 1 In 3.02, 5 Cd 3.04-3.27
Cd 0.6035 0.7995 0.6188  2 Sn 3.00-3.21, 1 In 3.02, 5 Cd 3.04-3.27
Cd 0.7995 0.6035 0.6188  2 Sn 3.00-3.21, 1 In 3.02, 5 Cd 3.04-3.27
Cd 0.8267 0.1733 0.0000  2 Sn 2.88, 4 Cd 3.08-3.13
Cd 0.9031 0.9031 0.2324  8 Cd 2.94-3.27, 1 In 3.05
In 0.5000 0.5000 0.0000  6 Cd 3.02-3.05
Sn 0.2403 0.7597 0.5000  6 Cd 2.88-3.21
Sn 0.7597 0.2403 0.5000  6 Cd 2.88-3.21

## Properties
As for the crystal system: monoclinic. The density of states at the Fermi level is 4.17 states/eV per cell. The value obtained for the energy above the most stable polymorph in this dataset is 0.17 eV per formula unit. The space group is C2/m (12). The formation energy is 0.110 eV per atom. The total energy comes out at -16.86 eV/cell. The total magnetic moment is 0.00 μB/f.u.


First-principles (PBE) data for a geometry-optimized LiNF2 structure, as listed in Alexandria via LeMat-Bulk.

Unit cell a=4.0246 b=4.0246 c=11.5814 alpha=90.00 beta=90.00 gamma=90.00
With the nearest neighbours (Å) after each atom.
Fractional positions:
Li 0.0000 0.0000 0.0000  4 F 2.01
Li 0.0000 0.5000 0.2500  4 F 2.01
Li 0.5000 0.0000 0.7500  4 F 2.01
Li 0.5000 0.5000 0.5000  4 F 2.01
N 0.0000 0.0000 0.5000  4 F 2.05
N 0.0000 0.5000 0.7500  4 F 2.05
N 0.5000 0.0000 0.2500  4 F 2.05
N 0.5000 0.5000 0.0000  4 F 2.05
F 0.2409 0.2500 0.1250  2 Li 2.01, 2 N 2.05
F 0.2500 0.7409 0.3750  2 Li 2.01, 2 N 2.05
F 0.2500 0.7591 0.8750  2 Li 2.01, 2 N 2.05
F 0.2591 0.2500 0.6250  2 Li 2.01, 2 N 2.05
F 0.7409 0.7500 0.6250  2 Li 2.01, 2 N 2.05
F 0.7500 0.2409 0.8750  2 Li 2.01, 2 N 2.05
F 0.7500 0.2591 0.3750  2 Li 2.01, 2 N 2.05
F 0.7591 0.7500 0.1250  2 Li 2.01, 2 N 2.05

## Properties
As for the crystal system: tetragonal. The density of states at the Fermi level is 1.35 states/eV per cell. The value obtained for the energy above the most stable polymorph in this dataset is 2.33 eV per formula unit. The space group is I-42d (122). The total energy comes out at -60.09 eV/cell. The formation energy from raw total energies is -0.260 eV per atom. The total magnetic moment is 2.00 μB/f.u.


First-principles (PBE) data for a geometry-optimized ScReI2N structure, as listed in Alexandria via LeMat-Bulk.

Unit cell a=5.6016 b=5.6016 c=3.7794 alpha=90.00 beta=90.00 gamma=90.00
With the nearest neighbours (Å) after each atom.
Fractional positions:
Sc 0.0000 0.0000 0.0000  8 I 3.38, 2 Sc 3.78
Re 0.5000 0.5000 0.5000  2 N 1.89
I 0.0000 0.5000 0.5000  2 Re 2.80
I 0.5000 0.0000 0.5000  2 Re 2.80
N 0.5000 0.5000 0.0000  2 Re 1.89

## Properties
As for the crystal system: tetragonal. The density of states at the Fermi level is 4.63 states/eV per cell. The value obtained for the energy above the most stable polymorph in this dataset is 0.00 eV per formula unit. The space group is P4/mmm (123). The total energy comes out at -28.57 eV/cell. The formation energy from raw total energies is 0.328 eV per atom. The total magnetic moment is 0.85 μB/f.u.


First-principles (PBE) data for a geometry-optimized CuMoAs2 structure, as listed in Alexandria via LeMat-Bulk.

Unit cell a=3.6109 b=3.3237 c=11.0620 alpha=90.00 beta=90.00 gamma=90.00
With the nearest neighbours (Å) after each atom.
Fractional positions:
Cu 0.0000 0.0000 0.0000  5 As 2.45-2.46
Cu 0.0000 0.5000 0.5000  5 As 2.45-2.46
Mo 0.5000 0.0000 0.8103  6 As 2.59-2.64, 2 Cu 2.77
Mo 0.5000 0.5000 0.3103  6 As 2.59-2.64, 2 Cu 2.77
As 0.0000 0.0000 0.2216  1 Cu 2.45, 4 Mo 2.64
As 0.0000 0.5000 0.7216  1 Cu 2.45, 4 Mo 2.64
As 0.5000 0.0000 0.4901  4 Cu 2.46, 2 Mo 2.59
As 0.5000 0.5000 0.9901  4 Cu 2.46, 2 Mo 2.59

## Properties
As for the crystal system: orthorhombic. The density of states at the Fermi level is 4.40 states/eV per cell. The value obtained for the energy above the most stable polymorph in this dataset is 0.00 eV per formula unit. The space group is Amm2 (38). The formation energy is -0.017 eV per atom. The total energy comes out at -48.59 eV/cell. The total magnetic moment is 0.00 μB/f.u.


First-principles (PBE) data for a geometry-optimized Mn4TlRh structure, as listed in Alexandria via LeMat-Bulk.

Unit cell a=4.8855 b=4.8855 c=4.8855 alpha=60.00 beta=60.00 gamma=60.00
With the nearest neighbours (Å) after each atom.
Fractional positions:
Mn 0.1249 0.1249 0.1249  6 Mn 2.44
Mn 0.1249 0.1249 0.6252  6 Mn 2.44
Mn 0.1249 0.6252 0.1249  6 Mn 2.44
Mn 0.6252 0.1249 0.1249  6 Mn 2.44
Tl 0.5000 0.5000 0.5000  12 Mn 2.86, 4 Rh 2.99
Rh 0.7500 0.7500 0.7500  12 Mn 2.86, 4 Tl 2.99

## Properties
As for the crystal system: cubic. The density of states at the Fermi level is 9.47 states/eV per cell. The space group is F-43m (216). The formation energy is 0.370 eV per atom. The total energy comes out at -44.18 eV/cell. The total magnetic moment is 7.73 μB/f.u.


First-principles (PBE) data for a geometry-optimized InFe2Se structure, as listed in Alexandria via LeMat-Bulk.

Unit cell a=3.3132 b=3.9338 c=5.5560 alpha=90.00 beta=107.18 gamma=90.00
With the nearest neighbours (Å) after each atom.
Fractional positions:
In 0.0000 0.0000 0.0000  7 Fe 2.79-2.96
Fe 0.2706 0.0000 0.5378  2 Fe 2.40, 4 Se 2.62-2.63
Fe 0.3992 0.5000 0.7975  2 Fe 2.40, 2 Se 2.52
Se 0.7219 0.5000 0.4389  6 Fe 2.52-2.63

## Properties
As for the crystal system: monoclinic. The density of states at the Fermi level is 2.49 states/eV per cell. The value obtained for the energy above the most stable polymorph in this dataset is 0.48 eV per formula unit. The space group is Pm (6). The total energy comes out at -22.38 eV/cell. The formation energy from raw total energies is 0.191 eV per atom. The total magnetic moment is 4.98 μB/f.u.